# Hf2AlHg

A crystal of Hf2AlHg relaxed with PBEsol (meta-GGA SCAN, Alexandria via LeMat-Bulk).

a = 6.770 Å, b = 6.770 Å, c = 6.770 Å
α = 90.00°, β = 90.00°, γ = 90.00°
Space group Fm-3m (No. 225)
Unique sites:
Hf (0.250, 0.250, 0.250) x8
Al (0.000, 0.000, 0.000) x4
Hg (0.000, 0.000, 0.500) x4

The volume is 310.3 Å³/cell. Its formation energy is -0.144 eV per atom. For the uncorrected energy, the calculation gives -50.460 eV per atom.